(1)
Below is crystalline FeCu2Os at its relaxed geometry, with properties calculated at the PBE level.

abc: 3.6169 3.6169 3.8784
angles: 90.00 90.00 90.00
Positions (direct):
1 Fe 0.0000 0.0000 0.0000
2 Cu 0.0000 0.5000 0.5000
3 Cu 0.5000 0.0000 0.5000
4 Os 0.5000 0.5000 0.0000

ΔE_f, eV per atom: 0.33
E_tot, eV/atom: -6.6431
Calculated volume, Å³/cell: 50.74
Total magnetization, μB/f.u.: 3.507

***

(2)
Below is crystalline Fe2CuOs at its relaxed geometry, with properties calculated at the PBE level.

abc: 6.5240 6.5240 5.0542
angles: 90.00 90.00 90.00
Positions (direct):
1 Fe 0.2211 0.2500 0.1250
2 Fe 0.2500 0.7211 0.3750
3 Fe 0.2500 0.7789 0.8750
4 Fe 0.2789 0.2500 0.6250
5 Fe 0.7211 0.7500 0.6250
6 Fe 0.7500 0.2211 0.8750
7 Fe 0.7500 0.2789 0.3750
8 Fe 0.7789 0.7500 0.1250
9 Cu 0.0000 0.0000 0.5000
10 Cu 0.0000 0.5000 0.7500
11 Cu 0.5000 0.0000 0.2500
12 Cu 0.5000 0.5000 0.0000
13 Os 0.0000 0.0000 0.0000
14 Os 0.0000 0.5000 0.2500
15 Os 0.5000 0.0000 0.7500
16 Os 0.5000 0.5000 0.5000

ΔE_f, eV per atom: 0.86
E_tot, eV/atom: -7.2072
Energy relative to the lowest polymorph listed for this composition, meV per atom: 680
Calculated volume, Å³/cell: 215.12
Total magnetization, μB/f.u.: 0.000

***

(3)
Below is crystalline Fe2CuOs at its relaxed geometry, with properties calculated at the PBE level.

abc: 2.8375 4.2956 8.4344
angles: 90.00 90.00 90.00
Positions (direct):
1 Fe 0.0000 0.0000 0.0000
2 Fe 0.0000 0.5000 0.2349
3 Fe 0.5000 0.0000 0.2349
4 Fe 0.5000 0.5000 0.0000
5 Cu 0.0000 0.5000 0.7541
6 Cu 0.5000 0.0000 0.7541
7 Os 0.0000 0.0000 0.4876
8 Os 0.5000 0.5000 0.4876

ΔE_f, eV per atom: 0.26
E_tot, eV/atom: -7.8064
Energy relative to the lowest polymorph listed for this composition, meV per atom: 81
Calculated volume, Å³/cell: 102.81
Total magnetization, μB/f.u.: 5.278

***

(4)
Below is crystalline Fe2CuOs at its relaxed geometry, with properties calculated at the PBE level.

abc: 5.8202 5.8202 5.8202
angles: 90.00 90.00 90.00
Positions (direct):
1 Fe 0.0000 0.0000 0.0000
2 Fe 0.0000 0.5000 0.5000
3 Fe 0.2500 0.2500 0.2500
4 Fe 0.2500 0.7500 0.7500
5 Fe 0.5000 0.0000 0.5000
6 Fe 0.5000 0.5000 0.0000
7 Fe 0.7500 0.2500 0.7500
8 Fe 0.7500 0.7500 0.2500
9 Cu 0.0000 0.0000 0.5000
10 Cu 0.0000 0.5000 0.0000
11 Cu 0.5000 0.0000 0.0000
12 Cu 0.5000 0.5000 0.5000
13 Os 0.2500 0.2500 0.7500
14 Os 0.2500 0.7500 0.2500
15 Os 0.7500 0.2500 0.2500
16 Os 0.7500 0.7500 0.7500

ΔE_f, eV per atom: 0.32
E_tot, eV/atom: -7.7390
Energy relative to the lowest polymorph listed for this composition, meV per atom: 149
Calculated volume, Å³/cell: 197.15
Total magnetization, μB/f.u.: 3.861